[1]
Computed, not measured: a geometry-optimized NaLa2SeS structure at the PBE level of DFT.

## Properties
DOS at the Fermi energy = 5.03 states/eV per cell
E_form (uncorrected) = -0.38 eV/atom

CIF file:
```
data_NaLa2SeS
_cell_length_a 5.699
_cell_length_b 5.699
_cell_length_c 5.449
_cell_angle_alpha 90.00
_cell_angle_beta 90.00
_cell_angle_gamma 90.00
_symmetry_space_group_name_H-M 'P 1'
_symmetry_Int_Tables_number 1
loop_
_symmetry_equiv_pos_as_xyz
'x,y,z'
loop_
_atom_site_label
_atom_site_type_symbol
_atom_site_fract_x
_atom_site_fract_y
_atom_site_fract_z
Na1 Na 0.000 0.000 0.000
La1 La 0.000 0.500 0.500
La2 La 0.500 0.000 0.500
Se1 Se 0.500 0.500 0.500
S1 S 0.500 0.500 0.000
```



[2]
Computed, not measured: a geometry-optimized NaLaSiS4 structure at the PBE level of DFT.

## Properties
DOS at the Fermi energy = 0.00 states/eV per cell
E_form (uncorrected) = -1.40 eV/atom

CIF file:
```
data_NaLaSiS4
_cell_length_a 6.594
_cell_length_b 6.583
_cell_length_c 8.171
_cell_angle_alpha 90.00
_cell_angle_beta 104.53
_cell_angle_gamma 90.00
_symmetry_space_group_name_H-M 'P 1'
_symmetry_Int_Tables_number 1
loop_
_symmetry_equiv_pos_as_xyz
'x,y,z'
loop_
_atom_site_label
_atom_site_type_symbol
_atom_site_fract_x
_atom_site_fract_y
_atom_site_fract_z
Na1 Na 0.245 0.250 0.054
Na2 Na 0.755 0.750 0.946
La1 La 0.231 0.250 0.555
La2 La 0.769 0.750 0.445
Si1 Si 0.229 0.750 0.302
Si2 Si 0.771 0.250 0.698
S1 S 0.017 0.001 0.258
S2 S 0.017 0.499 0.258
S3 S 0.388 0.750 0.566
S4 S 0.434 0.750 0.143
S5 S 0.566 0.250 0.857
S6 S 0.612 0.250 0.434
S7 S 0.983 0.501 0.742
S8 S 0.983 0.999 0.742
```



[3]
Computed, not measured: a geometry-optimized NaLaSm2S4 structure at the PBE level of DFT.

## Properties
DOS at the Fermi energy = 2.56 states/eV per cell
E_form (uncorrected) = -1.96 eV/atom

CIF file:
```
data_NaLaSm2S4
_cell_length_a 6.996
_cell_length_b 4.045
_cell_length_c 7.112
_cell_angle_alpha 90.00
_cell_angle_beta 109.12
_cell_angle_gamma 90.00
_symmetry_space_group_name_H-M 'P 1'
_symmetry_Int_Tables_number 1
loop_
_symmetry_equiv_pos_as_xyz
'x,y,z'
loop_
_atom_site_label
_atom_site_type_symbol
_atom_site_fract_x
_atom_site_fract_y
_atom_site_fract_z
Na1 Na 0.000 0.000 0.000
La1 La 0.500 0.500 0.000
Sm1 Sm 0.000 0.500 0.500
Sm2 Sm 0.500 0.000 0.500
S1 S 0.244 0.000 0.743
S2 S 0.253 0.500 0.259
S3 S 0.747 0.500 0.741
S4 S 0.756 0.000 0.257
```



[4]
Computed, not measured: a geometry-optimized NaSr3La2S6 structure at the PBE level of DFT.

## Properties
DOS at the Fermi energy = 3.06 states/eV per cell
E_form (uncorrected) = -2.02 eV/atom

CIF file:
```
data_NaSr3La2S6
_cell_length_a 9.419
_cell_length_b 9.419
_cell_length_c 8.458
_cell_angle_alpha 103.07
_cell_angle_beta 103.07
_cell_angle_gamma 25.90
_symmetry_space_group_name_H-M 'P 1'
_symmetry_Int_Tables_number 1
loop_
_symmetry_equiv_pos_as_xyz
'x,y,z'
loop_
_atom_site_label
_atom_site_type_symbol
_atom_site_fract_x
_atom_site_fract_y
_atom_site_fract_z
Na1 Na 0.000 0.000 0.000
Sr1 Sr 0.000 0.000 0.500
Sr2 Sr 0.338 0.338 0.164
Sr3 Sr 0.662 0.662 0.836
La1 La 0.336 0.336 0.672
La2 La 0.664 0.664 0.328
S1 S 0.169 0.169 0.092
S2 S 0.170 0.170 0.579
S3 S 0.495 0.495 0.746
S4 S 0.505 0.505 0.254
S5 S 0.830 0.830 0.421
S6 S 0.831 0.831 0.908
```